[1]
Crystalline NaTcH2 at its relaxed geometry. Source: the Open Quantum Materials Database, functional PBE.

Cell lengths 2.9029, 2.9029, 4.3067 Å; angles 90.00, 90.00, 90.00 degrees
Closest atoms and distances in Å follow each position.
Positions (direct):
1 H 0.5000 0.5000 0.0000  4 Na 2.05, 2 Tc 2.15
2 H 0.0000 0.0000 0.5000  4 Tc 2.05, 2 Na 2.15
3 Na 0.0000 0.0000 0.0000  6 H 2.05-2.15
4 Tc 0.5000 0.5000 0.5000  6 H 2.05-2.15

Values from the calculation:
As for the space group: P4/mmm. The calculation puts the calculated volume at 36.3 Å³ per cell. The value obtained for the calculated total energy is -4.191 eV/atom.

[2]
Crystalline PmMgCu at its relaxed geometry. Source: the Open Quantum Materials Database, functional PBE.

Cell lengths 4.8621, 4.8621, 4.8621 Å; angles 60.00, 60.00, 60.00 degrees
Closest atoms and distances in Å follow each position.
Positions (direct):
1 Cu 0.2500 0.2500 0.2500  4 Pm 2.98
2 Mg 0.7500 0.7500 0.7500  4 Pm 2.98
3 Pm 0.0000 0.0000 0.0000  4 Mg 2.98, 4 Cu 2.98

Values from the calculation:
As for the space group: F-43m. The calculation puts the calculated volume at 81.3 Å³ per cell. The calculation puts the energy above the most stable polymorph in this dataset at 550 meV/atom. The value obtained for the calculated total energy is -2.819 eV/atom.